[1]
Entry from Alexandria via LeMat-Bulk: a relaxed structure of Ac5TmSi4 (GGA-PBE).

abc: 4.496 8.188 10.586
angles: 112.80 102.26 90.00
Positions (direct):
Ac  0.839  0.589  0.677
Ac  0.839  0.089  0.678
Ac  0.161  0.911  0.322
Ac  0.500  0.500  0.000
Ac  0.161  0.411  0.323
Tm  0.500  0.000  0.000
Si  0.304  0.805  0.608
Si  0.000  0.773  0.000
Si  0.696  0.195  0.392
Si  0.000  0.227  0.000

Computed properties:
symmetry = C2/m (12)


[2]
Entry from Alexandria via LeMat-Bulk: a relaxed structure of AcTm2Si (GGA-PBE).

abc: 3.692 3.692 11.131
angles: 80.45 80.45 60.00
Positions (direct):
Ac  0.000  0.000  0.000
Tm  0.111  0.111  0.666
Tm  0.889  0.889  0.334
Si  0.500  0.500  0.500

Computed properties:
symmetry = R-3m (166)


[3]
Entry from Alexandria via LeMat-Bulk: a relaxed structure of AcTm4Si4 (GGA-PBE).

abc: 5.590 9.311 9.311
angles: 90.00 90.00 90.00
Positions (direct):
Ac  0.000  0.000  0.000
Ac  0.500  0.500  0.500
Tm  0.379  0.363  0.882
Tm  0.879  0.618  0.863
Tm  0.379  0.637  0.118
Tm  0.121  0.137  0.618
Tm  0.621  0.882  0.637
Tm  0.121  0.863  0.382
Tm  0.879  0.382  0.137
Tm  0.621  0.118  0.363
Si  0.611  0.815  0.325
Si  0.611  0.185  0.675
Si  0.111  0.825  0.685
Si  0.889  0.315  0.825
Si  0.889  0.685  0.175
Si  0.389  0.325  0.185
Si  0.389  0.675  0.815
Si  0.111  0.175  0.315

Computed properties:
symmetry = P4_2/n (86)


[4]
Entry from Alexandria via LeMat-Bulk: a relaxed structure of AcTm2Si6 (GGA-PBE).

abc: 4.048 7.211 7.211
angles: 120.00 90.00 90.00
Positions (direct):
Ac  0.000  0.000  0.000
Tm  0.000  0.333  0.667
Tm  0.000  0.667  0.333
Si  0.500  0.341  0.341
Si  0.500  0.659  0.659
Si  0.500  0.000  0.659
Si  0.500  0.659  0.000
Si  0.500  0.341  0.000
Si  0.500  0.000  0.341

Computed properties:
symmetry = P6/mmm (191)


[5]
Entry from Alexandria via LeMat-Bulk: a relaxed structure of Ac2TmSi2 (GGA-PBE).

abc: 4.457 6.448 6.448
angles: 58.91 69.75 69.75
Positions (direct):
Ac  0.296  0.204  0.704
Ac  0.704  0.796  0.296
Tm  0.500  0.500  0.000
Si  0.000  0.198  0.302
Si  0.000  0.802  0.698

Computed properties:
symmetry = Immm (71)


[6]
Entry from Alexandria via LeMat-Bulk: a relaxed structure of AcTmSi3 (GGA-PBE).

abc: 4.002 4.481 12.645
angles: 100.20 90.00 90.00
Positions (direct):
Ac  0.250  0.073  0.146
Ac  0.750  0.927  0.854
Tm  0.250  0.797  0.594
Tm  0.750  0.203  0.406
Si  0.250  0.375  0.750
Si  0.750  0.625  0.250
Si  0.250  0.474  0.948
Si  0.750  0.526  0.052
Si  0.750  0.318  0.635
Si  0.250  0.682  0.365

Computed properties:
symmetry = Cmcm (63)


Record order is preserved below.
ΔE_f (raw): -341 -24 -511 -455 -550 -624 meV/atom